# 1
The following is a DFT calculation (PBE) of a relaxed structure of ZrZnTcBr2.

Computed properties:
The formation energy without anion corrections comes out at 1.090 eV/atom. Its symmetry is No. 123.

extended XYZ file:
```
5
Lattice="4.8770 0.0000 0.0000 0.0000 4.8770 0.0000 0.0000 0.0000 5.5969" Properties=species:S:1:pos:R:3 pbc="T T T"
Zr 0.0000 0.0000 0.0000
Zn 0.0000 0.0000 2.7984
Tc 2.4385 2.4385 0.0000
Br 0.0000 2.4385 2.7984
Br 2.4385 0.0000 2.7984
```

---

# 2
The following is a DFT calculation (PBE) of a relaxed structure of LiAg3Pd2.

Computed properties:
The calculation puts the polymorph energy (0 for the lowest one) at 0 meV per atom. As for the formation energy: -0.156 eV/atom. Its symmetry is No. 65.

extended XYZ file:
```
6
Lattice="2.0235 -6.0052 0.0000 2.0235 6.0052 0.0000 0.0000 0.0000 4.0119" Properties=species:S:1:pos:R:3 pbc="T T T"
Li 0.0000 0.0000 0.0000
Ag 2.0235 4.0114 2.0059
Ag 2.0235 0.0000 2.0059
Ag 2.0235 -4.0114 2.0059
Pd 2.0235 1.9680 0.0000
Pd 2.0235 -1.9680 0.0000
```

---

| no. | M_tot (μB/cell) |
| --- | --- |
| 1 | 2.89 |
| 2 | 0.00 |